Entry 1:
First-principles (PBE) data for a geometry-optimized SrP2W2 structure, as listed in the Alexandria database.

The structure belongs to space group I4/mmm (No. 139); the cell edges are 3.8766, 3.8766 and 13.3154 Å and the angles 90.00°, 90.00° and 90.00°. The distinct sites, in fractional coordinates, are Sr at (0.0000, 0.0000, 0.0000), P at (0.0000, 0.0000, 0.3694) and W at (0.0000, 0.5000, 0.2500).

The formation energy comes out at -0.4464 eV per atom. As for the energy above the most stable polymorph in this dataset: 0.0 kJ/mol of atoms. Its magnetization is 0.00 μB per formula unit.

***

Entry 2:
First-principles (PBE) data for a geometry-optimized VWI2 structure, as listed in the Alexandria database.

The structure belongs to space group I-42d (No. 122); the cell edges are 4.8170, 4.8170 and 16.8290 Å and the angles 90.00°, 90.00° and 90.00°. The distinct sites, in fractional coordinates, are V at (0.0000, 0.0000, 0.0000), W at (0.0000, 0.0000, 0.5000) and I at (0.2485, 0.2500, 0.1250).

For the uncorrected formation energy, the calculation gives 1.19 eV/atom. As for the energy above the most stable polymorph in this dataset: 0.0 kJ/mol of atoms. Its magnetization is 0.81 μB per formula unit.

***

Entry 3:
First-principles (PBE) data for a geometry-optimized Tc2TeI2 structure, as listed in the Alexandria database.

The structure belongs to space group I4/mmm (No. 139); the cell edges are 5.5320, 5.5320 and 8.1077 Å and the angles 90.00°, 90.00° and 90.00°. The distinct sites, in fractional coordinates, are Tc at (0.0000, 0.0000, 0.1344), Te at (0.0000, 0.0000, 0.5000) and I at (0.0000, 0.5000, 0.2500).

For the uncorrected formation energy, the calculation gives 0.82 eV/atom. As for the energy above the most stable polymorph in this dataset: 0.0 kJ/mol of atoms. Its magnetization is 0.13 μB per formula unit.

***

Entry 4:
First-principles (PBE) data for a geometry-optimized TlIrO4 structure, as listed in the Alexandria database.

The structure belongs to space group P2_1/c (No. 14); the cell edges are 6.0508, 4.9196 and 5.5057 Å and the angles 90.00°, 107.35° and 90.00°. The distinct sites, in fractional coordinates, are Tl at (0.0000, 0.0000, 0.0000), Ir at (0.5000, 0.0000, 0.5000), O at (0.1781, 0.1263, 0.3893) and O at (0.3959, 0.6983, 0.6698).

For the uncorrected formation energy, the calculation gives -0.66 eV/atom. As for the energy above the most stable polymorph in this dataset: 0.0 kJ/mol of atoms. Its magnetization is 0.00 μB per formula unit.

***

Entry 5:
First-principles (PBE) data for a geometry-optimized LiMg2Al structure, as listed in the Alexandria database.

The structure belongs to space group Cmm2 (No. 35); the cell edges are 3.5690, 4.7571 and 9.3915 Å and the angles 90.00°, 90.00° and 90.00°. The distinct sites, in fractional coordinates, are Li at (0.0000, 0.0000, 0.0000), Mg at (0.0000, 0.0000, 0.5277), Mg at (0.0000, 0.5000, 0.2561) and Al at (0.0000, 0.5000, 0.7728).

The formation energy comes out at -0.0112 eV per atom. Its magnetization is 0.00 μB per formula unit.

***

Entry 6:
First-principles (PBE) data for a geometry-optimized LaScTc4 structure, as listed in the Alexandria database.

The structure belongs to space group F-43m (No. 216); the cell edges are 7.6496, 7.6496 and 7.6496 Å and the angles 90.00°, 90.00° and 90.00°. The distinct sites, in fractional coordinates, are La at (0.0000, 0.0000, 0.0000), Sc at (0.2500, 0.2500, 0.7500) and Tc at (0.1245, 0.1245, 0.3755).

The formation energy comes out at 0.0089 eV per atom. Its magnetization is 0.00 μB per formula unit.

***

Entry 7:
First-principles (PBE) data for a geometry-optimized CePaOs2 structure, as listed in the Alexandria database.

The structure belongs to space group Pbcm (No. 57); the cell edges are 8.5319, 7.3267 and 5.7987 Å and the angles 90.00°, 90.00° and 90.00°. The distinct sites, in fractional coordinates, are Ce at (0.1253, 0.0836, 0.2500), Pa at (0.3751, 0.5849, 0.2500), Os at (0.1358, 0.7500, 0.0000) and Os at (0.3843, 0.2500, 0.0000).

The formation energy comes out at -0.2916 eV per atom. As for the energy above the most stable polymorph in this dataset: 0.0 kJ/mol of atoms. Its magnetization is 0.00 μB per formula unit.

***

Entry 8:
First-principles (PBE) data for a geometry-optimized GaAg8Hg2 structure, as listed in the Alexandria database.

The structure belongs to space group C2/m (No. 12); the cell edges are 13.6222, 4.5902 and 8.0452 Å and the angles 90.00°, 122.42° and 90.00°. The distinct sites, in fractional coordinates, are Ga at (0.0000, 0.0000, 0.0000), Ag at (0.0574, 0.5000, 0.8914), Ag at (0.0637, 0.0000, 0.3853), Ag at (0.1848, 0.0000, 0.8897), Ag at (0.1911, 0.5000, 0.3246) and Hg at (0.1620, 0.5000, 0.6531).

The formation energy comes out at 0.0502 eV per atom. As for the energy above the most stable polymorph in this dataset: 0.0 kJ/mol of atoms. Its magnetization is 0.00 μB per formula unit.